Ba2NpN4: relaxed, PBE-GGA.

The offset from the most stable computed form is 45 meV/atom.

The structure belongs to space group Cmmm (No. 65); the cell edges are 5.810, 12.192 and 3.603 Å and the angles 90.00°, 90.00° and 90.00°. The inequivalent atoms are Ba at (0.000, 0.155, 0.000), Np at (0.000, 0.500, 0.500), N at (0.000, 0.391, 0.000) and N at (0.116, 0.000, 0.500).

=====

CaAs2PdSe: relaxed, PBE-GGA.

The offset from the most stable computed form is 0 meV/atom.

The structure belongs to space group P4/mmm (No. 123); the cell edges are 4.826, 4.826 and 5.335 Å and the angles 90.00°, 90.00° and 90.00°. The inequivalent atoms are Ca at (0.000, 0.000, 0.000), As at (0.000, 0.500, 0.500), Pd at (0.500, 0.500, 0.500) and Se at (0.500, 0.500, 0.000).

=====

Mg2FeRe: relaxed, PBE-GGA.

The formation energy comes out at 0.126 eV per atom. The offset from the most stable computed form is 0 meV/atom.

The structure belongs to space group P4mm (No. 99); the cell edges are 2.884, 2.884 and 7.813 Å and the angles 90.00°, 90.00° and 90.00°. The inequivalent atoms are Mg at (0.000, 0.000, 0.000), Mg at (0.500, 0.500, 0.330), Fe at (0.500, 0.500, 0.767) and Re at (0.000, 0.000, 0.592).

=====

Ca2Br3F: relaxed, PBE-GGA.

The offset from the most stable computed form is 0 meV/atom.

The structure belongs to space group C2/m (No. 12); the cell edges are 18.895, 4.074 and 13.515 Å and the angles 90.00°, 123.80° and 90.00°. The inequivalent atoms are Ca at (0.210, 0.000, 0.339), Ca at (0.213, 0.500, 0.103), Br at (0.095, 0.500, 0.182), Br at (0.138, 0.000, 0.909), Br at (0.165, 0.000, 0.516) and F at (0.245, 0.000, 0.204).

=====

La2AuCl: relaxed, PBE-GGA.

The offset from the most stable computed form is 136 meV/atom.

The structure belongs to space group P4/mmm (No. 123); the cell edges are 3.567, 3.567 and 8.246 Å and the angles 90.00°, 90.00° and 90.00°. The inequivalent atoms are La at (0.000, 0.000, 0.238), Au at (0.500, 0.500, 0.000) and Cl at (0.500, 0.500, 0.500).

=====

Nd3SmHo6Er2: relaxed, PBE-GGA.

The formation energy comes out at 0.019 eV per atom.

The structure belongs to space group C2/m (No. 12); the cell edges are 6.187, 10.711 and 11.791 Å and the angles 90.00°, 100.04° and 90.00°. The inequivalent atoms are Nd at (0.000, 0.000, 0.000), Nd at (0.000, 0.333, 0.000), Sm at (0.000, 0.500, 0.500), Ho at (0.249, 0.000, 0.747), Ho at (0.249, 0.333, 0.747) and Er at (0.000, 0.167, 0.500).

=====

Ba4NaRh: relaxed, PBE-GGA.

The formation energy comes out at -0.086 eV per atom. The offset from the most stable computed form is 0 meV/atom.

The structure belongs to space group C2/c (No. 15); the cell edges are 10.989, 17.143 and 7.798 Å and the angles 90.00°, 120.25° and 90.00°. The inequivalent atoms are Ba at (0.151, 0.204, 0.167), Ba at (0.193, 0.051, 0.697), Na at (0.000, 0.394, 0.750) and Rh at (0.000, 0.078, 0.250).

=====

Tl2InIrO8: relaxed, PBE-GGA.

The structure belongs to space group P2/m (No. 10); the cell edges are 4.925, 6.766 and 5.011 Å and the angles 90.00°, 91.88° and 90.00°. The inequivalent atoms are Tl at (0.000, 0.250, 0.000), In at (0.500, 0.000, 0.500), Ir at (0.500, 0.500, 0.500), O at (0.219, 0.000, 0.185), O at (0.247, 0.500, 0.205) and O at (0.305, 0.283, 0.659).

=====

Summary of DOS(E_F) in states/eV/f.u.
1.7; 5.8; 2.3; 0.0; 4.0; 15.3; 5.4; 5.6
(order as listed above)
Summary of total energy in eV/atom
-7.9033; -4.2076; -5.8995; -4.2929; -4.8067; -4.6160; -2.8126; -5.3608
(order as listed above)
Summary of total moment in μB/f.u.
1.00; 0.16; 0.59; 0.00; 0.00; 0.00; 0.00; 0.00
(order as listed above)